Here is a relaxed Sc3Si2Ni3 crystal from the Alexandria database. Energies are from PBE.

The structure belongs to space group Cmcm (No. 63); the cell edges are 3.5963, 9.7524 and 14.0748 Å and the angles 90.00°, 90.00° and 90.00°. The distinct sites, in fractional coordinates, are Sc at (0.0000, 0.0499, 0.2500), Sc at (0.0000, 0.1410, 0.0475), Si at (0.0000, 0.2013, 0.6486), Ni at (0.0000, 0.3241, 0.2500) and Ni at (0.0000, 0.4492, 0.0940).

For the excess energy over the best structure of this formula in the dataset, the calculation gives 3.75 kcal/mol of atoms. Its density of states at the Fermi level is 0.658 states/eV/atom. For the formation energy (no corrections), the calculation gives -587 meV/atom. The crystal system is orthorhombic. As for the final energy: -6.4855 eV per atom.

=====

Here is a relaxed AlOs3 crystal from the Alexandria database. Energies are from PBE.

The structure belongs to space group Pmmm (No. 47); the cell edges are 2.7848, 3.8295 and 5.3551 Å and the angles 90.00°, 90.00° and 90.00°. The distinct sites, in fractional coordinates, are Al at (0.0000, 0.0000, 0.0000), Os at (0.0000, 0.0000, 0.5000) and Os at (0.5000, 0.5000, 0.2478).

Its density of states at the Fermi level is 0.873 states/eV/atom. The crystal system is orthorhombic. As for the final energy: -9.3328 eV per atom.

=====

Here is a relaxed BaLaCrN4 crystal from the Alexandria database. Energies are from PBE.

The structure belongs to space group P2_1/m (No. 11); the cell edges are 6.0482, 5.7604 and 7.5262 Å and the angles 90.00°, 107.15° and 90.00°. The distinct sites, in fractional coordinates, are Ba at (0.2146, 0.2500, 0.4253), La at (0.2779, 0.2500, 0.9473), Cr at (0.2672, 0.7500, 0.1825), N at (0.0810, 0.7500, 0.3227), N at (0.0932, 0.7500, 0.9557) and N at (0.4496, 0.5110, 0.2135).

Its density of states at the Fermi level is 0.453 states/eV/atom. For the formation energy (no corrections), the calculation gives -774 meV/atom. The crystal system is monoclinic. As for the final energy: -7.8846 eV per atom.

=====

Here is a relaxed Cu2SiP crystal from the Alexandria database. Energies are from PBE.

The structure belongs to space group C2/m (No. 12); the cell edges are 5.1638, 7.3556 and 2.8079 Å and the angles 90.00°, 92.25° and 90.00°. The distinct sites, in fractional coordinates, are Cu at (0.2500, 0.2500, 0.0000), Si at (0.0000, 0.0000, 0.5000) and P at (0.0000, 0.5000, 0.5000).

Its density of states at the Fermi level is 0.224 states/eV/atom. For the formation energy (no corrections), the calculation gives 245 meV/atom. The crystal system is monoclinic. As for the final energy: -4.5118 eV per atom.

=====

Here is a relaxed Ta2CoRu crystal from the Alexandria database. Energies are from PBE.

The structure belongs to space group I-42d (No. 122); the cell edges are 6.8483, 6.8483 and 5.5243 Å and the angles 90.00°, 90.00° and 90.00°. The distinct sites, in fractional coordinates, are Ta at (0.2382, 0.2500, 0.1250), Co at (0.0000, 0.0000, 0.0000) and Ru at (0.0000, 0.0000, 0.5000).

Its density of states at the Fermi level is 1.627 states/eV/atom. The crystal system is tetragonal. As for the final energy: -9.6848 eV per atom.

=====

Here is a relaxed Ta2MnAg crystal from the Alexandria database. Energies are from PBE.

The structure belongs to space group P4/mmm (No. 123); the cell edges are 2.9343, 2.9343 and 7.5760 Å and the angles 90.00°, 90.00° and 90.00°. The distinct sites, in fractional coordinates, are Ta at (0.0000, 0.0000, 0.2095), Mn at (0.5000, 0.5000, 0.0000) and Ag at (0.5000, 0.5000, 0.5000).

For the excess energy over the best structure of this formula in the dataset, the calculation gives 0.00 kcal/mol of atoms. Its density of states at the Fermi level is 0.977 states/eV/atom. The crystal system is tetragonal. As for the final energy: -8.7845 eV per atom.

=====

Q: Among the records above, which one has the lowest final energy?
A: Ta2CoRu